# 1
VASP calculation (GGA-PBEsol) on a relaxed MnV5P6O24 crystal.

a = 8.3152 Å, b = 8.3152 Å, c = 8.3152 Å
α = 61.87°, β = 61.87°, γ = 61.87°
Atoms (fractional coordinates):
Mn (0.0000, 0.0000, 0.0000)
V (0.1440, 0.1440, 0.1440)
V (0.2844, 0.2844, 0.2844)
V (0.5024, 0.5024, 0.5024)
V (0.6434, 0.6434, 0.6434)
V (0.7843, 0.7843, 0.7843)
P (0.1022, 0.6861, 0.3954)
P (0.1887, 0.5988, 0.8954)
P (0.3954, 0.1022, 0.6861)
P (0.5988, 0.8954, 0.1887)
P (0.6861, 0.3954, 0.1022)
P (0.8954, 0.1887, 0.5988)
O (0.0276, 0.6445, 0.8256)
O (0.0504, 0.2040, 0.3929)
O (0.0970, 0.8871, 0.2415)
O (0.1431, 0.5264, 0.3260)
O (0.1587, 0.7473, 0.9696)
O (0.2040, 0.3929, 0.0504)
O (0.2415, 0.0970, 0.8871)
O (0.2557, 0.6317, 0.4799)
O (0.3260, 0.1431, 0.5264)
O (0.3929, 0.0504, 0.2040)
O (0.3928, 0.5778, 0.7365)
O (0.4799, 0.2557, 0.6317)
O (0.5264, 0.3260, 0.1431)
O (0.5499, 0.8960, 0.7048)
O (0.5778, 0.7365, 0.3928)
O (0.6317, 0.4799, 0.2557)
O (0.6445, 0.8256, 0.0276)
O (0.7048, 0.5499, 0.8960)
O (0.7365, 0.3928, 0.5778)
O (0.7473, 0.9696, 0.1587)
O (0.8256, 0.0276, 0.6445)
O (0.8871, 0.2415, 0.0970)
O (0.8960, 0.7048, 0.5499)
O (0.9696, 0.1587, 0.7473)

Its formation energy (no corrections) is -78.1 eV/f.u. The space group is R3 (146).

***

# 2
VASP calculation (GGA-PBEsol) on a relaxed Mn2V3P6WO24 crystal.

a = 8.5483 Å, b = 8.5483 Å, c = 8.5483 Å
α = 60.27°, β = 60.27°, γ = 60.27°
Atoms (fractional coordinates):
Mn (0.0000, 0.0000, 0.0000)
Mn (0.4964, 0.4964, 0.4964)
V (0.1426, 0.1426, 0.1426)
V (0.3570, 0.3570, 0.3570)
V (0.8581, 0.8581, 0.8581)
P (0.0465, 0.4572, 0.7530)
P (0.2461, 0.9635, 0.5411)
P (0.4572, 0.7530, 0.0465)
P (0.5411, 0.2461, 0.9635)
P (0.7530, 0.0465, 0.4572)
P (0.9635, 0.5411, 0.2461)
W (0.6428, 0.6428, 0.6428)
O (0.0020, 0.6178, 0.8137)
O (0.0568, 0.2615, 0.9134)
O (0.0869, 0.9421, 0.7387)
O (0.1171, 0.5023, 0.3143)
O (0.1918, 0.9944, 0.3812)
O (0.2398, 0.4406, 0.5879)
O (0.2615, 0.9134, 0.0568)
O (0.3143, 0.1171, 0.5023)
O (0.3812, 0.1918, 0.9944)
O (0.4120, 0.7621, 0.5631)
O (0.4406, 0.5879, 0.2398)
O (0.4998, 0.6867, 0.8849)
O (0.5023, 0.3143, 0.1171)
O (0.5631, 0.4120, 0.7621)
O (0.5879, 0.2398, 0.4406)
O (0.6177, 0.8137, 0.0020)
O (0.6867, 0.8849, 0.4998)
O (0.7387, 0.0869, 0.9421)
O (0.7621, 0.5631, 0.4120)
O (0.8137, 0.0020, 0.6178)
O (0.8849, 0.4998, 0.6867)
O (0.9134, 0.0568, 0.2615)
O (0.9421, 0.7387, 0.0869)
O (0.9944, 0.3812, 0.1918)

Its formation energy (no corrections) is -75.8 eV/f.u. The space group is R3 (146).

***

# 3
VASP calculation (GGA-PBEsol) on a relaxed Mn7P12WO48 crystal.

a = 8.1567 Å, b = 8.3996 Å, c = 11.4310 Å
α = 90.16°, β = 90.61°, γ = 90.08°
Atoms (fractional coordinates):
Mn (0.0000, 0.0000, 0.0000)
Mn (0.0014, 0.0609, 0.5046)
Mn (0.0048, 0.5632, 0.7630)
Mn (0.0105, 0.4967, 0.2741)
Mn (0.4994, 0.5628, 0.5022)
Mn (0.5062, 0.0595, 0.7691)
Mn (0.5073, 0.0000, 0.2703)
P (0.1330, 0.6512, 0.0328)
P (0.1427, 0.9150, 0.7420)
P (0.2227, 0.7798, 0.3968)
P (0.2859, 0.2798, 0.3773)
P (0.3554, 0.4094, 0.7321)
P (0.3652, 0.1304, 0.0279)
P (0.6486, 0.9128, 0.5348)
P (0.6497, 0.6542, 0.2528)
P (0.7276, 0.7861, 0.8895)
P (0.7934, 0.2756, 0.8709)
P (0.8589, 0.1492, 0.2384)
P (0.8635, 0.4139, 0.5272)
W (0.5025, 0.4991, 0.0070)
O (0.0237, 0.5521, 0.1122)
O (0.0257, 0.9589, 0.8427)
O (0.0735, 0.8656, 0.4477)
O (0.0925, 0.7474, 0.6999)
O (0.1113, 0.6058, 0.9048)
O (0.1165, 0.0345, 0.6421)
O (0.1292, 0.8321, 0.0514)
O (0.1612, 0.6564, 0.3068)
O (0.1797, 0.4537, 0.6994)
O (0.1841, 0.1617, 0.4487)
O (0.1851, 0.1361, 0.9895)
O (0.1870, 0.3522, 0.2733)
O (0.3165, 0.6073, 0.0631)
O (0.3215, 0.7068, 0.5004)
O (0.3249, 0.9184, 0.7789)
O (0.3260, 0.8989, 0.3272)
O (0.3501, 0.4042, 0.4652)
O (0.3693, 0.2278, 0.7261)
O (0.3889, 0.0211, 0.1322)
O (0.3926, 0.4612, 0.8617)
O (0.4149, 0.3050, 0.0648)
O (0.4354, 0.1948, 0.3257)
O (0.4792, 0.5039, 0.6594)
O (0.4852, 0.0885, 0.9302)
O (0.5250, 0.6077, 0.3460)
O (0.5311, 0.0141, 0.6096)
O (0.5809, 0.6970, 0.9483)
O (0.6022, 0.8168, 0.2034)
O (0.6150, 0.5337, 0.1492)
O (0.6208, 0.9544, 0.4057)
O (0.6298, 0.7314, 0.5533)
O (0.6581, 0.9004, 0.7985)
O (0.6792, 0.1116, 0.2056)
O (0.6837, 0.4244, 0.4861)
O (0.6845, 0.2064, 0.7728)
O (0.6861, 0.3947, 0.9447)
O (0.8204, 0.6581, 0.8230)
O (0.8207, 0.8582, 0.9949)
O (0.8282, 0.9503, 0.5677)
O (0.8295, 0.6415, 0.2875)
O (0.8529, 0.1603, 0.9647)
O (0.8742, 0.3320, 0.2244)
O (0.8869, 0.5333, 0.6279)
O (0.8922, 0.1022, 0.3656)
O (0.9088, 0.2452, 0.5682)
O (0.9379, 0.3647, 0.8199)
O (0.9752, 0.0551, 0.1583)
O (0.9872, 0.4568, 0.4300)

Its formation energy (no corrections) is -131.2 eV/f.u. The space group is P1 (1).

***

# 4
VASP calculation (GGA-PBEsol) on a relaxed Mn7PbO12 crystal.

a = 6.3932 Å, b = 6.3932 Å, c = 6.3932 Å
α = 109.47°, β = 109.47°, γ = 109.47°
Atoms (fractional coordinates):
Mn (0.0000, 0.0000, 0.5000)
Mn (0.0000, 0.5000, 0.0000)
Mn (0.0000, 0.5000, 0.5000)
Mn (0.5000, 0.0000, 0.0000)
Mn (0.5000, 0.0000, 0.5000)
Mn (0.5000, 0.5000, 0.0000)
Mn (0.5000, 0.5000, 0.5000)
Pb (0.0000, 0.0000, 0.0000)
O (0.1322, 0.8186, 0.3136)
O (0.1814, 0.3136, 0.4950)
O (0.1814, 0.6864, 0.8678)
O (0.3136, 0.1322, 0.8186)
O (0.3136, 0.4950, 0.1814)
O (0.4950, 0.1814, 0.3136)
O (0.5050, 0.8186, 0.6864)
O (0.6864, 0.5050, 0.8186)
O (0.6864, 0.8678, 0.1814)
O (0.8186, 0.3136, 0.1322)
O (0.8186, 0.6864, 0.5050)
O (0.8678, 0.1814, 0.6864)

Its formation energy (no corrections) is -31.2 eV/f.u. The space group is Im-3 (204).

***

# 5
VASP calculation (GGA-PBEsol) on a relaxed Mn3PbO crystal.

a = 4.1126 Å, b = 4.1126 Å, c = 4.1126 Å
α = 90.00°, β = 90.00°, γ = 90.00°
Atoms (fractional coordinates):
Mn (0.0000, 0.0000, 0.5000)
Mn (0.0000, 0.5000, 0.0000)
Mn (0.5000, 0.0000, 0.0000)
Pb (0.5000, 0.5000, 0.5000)
O (0.0000, 0.0000, 0.0000)

Its formation energy (no corrections) is -0.1 eV/f.u. The space group is Pm-3m (221).

***

# 6
VASP calculation (GGA-PBEsol) on a relaxed Mn8PbO16 crystal.

a = 5.6348 Å, b = 6.8353 Å, c = 7.0589 Å
α = 90.49°, β = 101.53°, γ = 101.91°
Atoms (fractional coordinates):
Mn (0.0000, 0.0000, 0.0000)
Mn (0.0857, 0.6942, 0.6501)
Mn (0.2400, 0.6687, 0.2906)
Mn (0.3258, 0.3629, 0.9408)
Mn (0.4979, 0.9990, 0.9933)
Mn (0.5848, 0.6884, 0.6508)
Mn (0.7408, 0.6746, 0.2899)
Mn (0.8279, 0.3640, 0.9475)
Pb (0.6639, 0.1821, 0.4702)
O (0.0034, 0.2093, 0.8207)
O (0.0080, 0.8244, 0.1997)
O (0.1441, 0.4953, 0.0732)
O (0.1816, 0.8678, 0.8675)
O (0.3176, 0.5385, 0.7411)
O (0.3224, 0.1537, 0.1200)
O (0.3439, 0.8322, 0.5289)
O (0.4888, 0.5286, 0.4117)
O (0.5060, 0.8302, 0.2025)
O (0.5110, 0.2102, 0.8173)
O (0.6404, 0.4948, 0.0749)
O (0.6853, 0.8679, 0.8661)
O (0.8149, 0.1527, 0.1236)
O (0.8196, 0.5327, 0.7383)
O (0.8369, 0.8344, 0.5291)
O (0.9817, 0.5306, 0.4119)

Its formation energy (no corrections) is -41.3 eV/f.u. The space group is P1 (1).

***

# 7
VASP calculation (GGA-PBEsol) on a relaxed Pr3Mn4PbO12 crystal.

a = 5.4362 Å, b = 7.6994 Å, c = 5.4706 Å
α = 90.00°, β = 90.25°, γ = 90.00°
Atoms (fractional coordinates):
Pr (0.0000, 0.0000, 0.0000)
Pr (0.0494, 0.5000, 0.0080)
Pr (0.5541, 0.5000, 0.5004)
Mn (0.0291, 0.2498, 0.5075)
Mn (0.0291, 0.7502, 0.5075)
Mn (0.5250, 0.2504, 0.0083)
Mn (0.5250, 0.7496, 0.0083)
Pb (0.5157, 0.0000, 0.5145)
O (0.0234, 0.0000, 0.4392)
O (0.0227, 0.5000, 0.5701)
O (0.2435, 0.2218, 0.7916)
O (0.2435, 0.7782, 0.7916)
O (0.2957, 0.2927, 0.2761)
O (0.2957, 0.7073, 0.2761)
O (0.5145, 0.5000, 0.9388)
O (0.5418, 0.0000, 0.0587)
O (0.7620, 0.2273, 0.7449)
O (0.7620, 0.7727, 0.7449)
O (0.7976, 0.2913, 0.2376)
O (0.7976, 0.7087, 0.2376)

Its formation energy (no corrections) is -46.6 eV/f.u. The space group is Pm (6).

***

# 8
VASP calculation (GGA-PBEsol) on a relaxed MnRePb2O6 crystal.

a = 5.5665 Å, b = 5.5665 Å, c = 5.5665 Å
α = 60.00°, β = 60.00°, γ = 60.00°
Atoms (fractional coordinates):
Mn (0.0000, 0.0000, 0.0000)
Re (0.5000, 0.5000, 0.5000)
Pb (0.2500, 0.2500, 0.2500)
Pb (0.7500, 0.7500, 0.7500)
O (0.2521, 0.2521, 0.7479)
O (0.2521, 0.7479, 0.2521)
O (0.2521, 0.7479, 0.7479)
O (0.7479, 0.2521, 0.2521)
O (0.7479, 0.2521, 0.7479)
O (0.7479, 0.7479, 0.2521)

For the energy above the lowest structure with this stoichiometry, the calculation gives 51.5 meV per atom. Its formation energy (no corrections) is -13.3 eV/f.u. The space group is Fm-3m (225).

***

# 9
VASP calculation (GGA-PBEsol) on a relaxed MnRePb2O6 crystal.

a = 7.2064 Å, b = 7.2064 Å, c = 7.2064 Å
α = 120.72°, β = 119.25°, γ = 90.04°
Atoms (fractional coordinates):
Mn (0.5000, 0.0000, 0.0000)
Mn (0.5000, 0.5000, 0.5000)
Re (0.0000, 0.0000, 0.0000)
Re (0.5000, 0.0000, 0.5000)
Pb (0.0000, 0.0000, 0.5000)
Pb (0.0000, 0.5000, 0.0000)
Pb (0.0000, 0.5000, 0.5000)
Pb (0.5000, 0.5000, 0.0000)
O (0.1812, 0.3178, 0.2454)
O (0.1812, 0.9358, 0.8634)
O (0.1860, 0.9360, 0.2500)
O (0.4277, 0.0642, 0.7454)
O (0.4277, 0.6822, 0.3634)
O (0.4339, 0.6839, 0.7500)
O (0.5661, 0.3161, 0.2500)
O (0.5723, 0.3178, 0.6366)
O (0.5723, 0.9358, 0.2546)
O (0.8140, 0.0640, 0.7500)
O (0.8188, 0.0642, 0.1366)
O (0.8188, 0.6822, 0.7546)

For the energy above the lowest structure with this stoichiometry, the calculation gives 0.0 meV per atom. Its formation energy (no corrections) is -13.8 eV/f.u. The space group is Imma (74).

***

# 10
VASP calculation (GGA-PBEsol) on a relaxed MnTePb2O6 crystal.

a = 5.6925 Å, b = 5.6925 Å, c = 5.6925 Å
α = 60.00°, β = 60.00°, γ = 60.00°
Atoms (fractional coordinates):
Mn (0.0000, 0.0000, 0.0000)
Te (0.5000, 0.5000, 0.5000)
Pb (0.2500, 0.2500, 0.2500)
Pb (0.7500, 0.7500, 0.7500)
O (0.2570, 0.2570, 0.7430)
O (0.2570, 0.7430, 0.2570)
O (0.2570, 0.7430, 0.7430)
O (0.7430, 0.2570, 0.2570)
O (0.7430, 0.2570, 0.7430)
O (0.7430, 0.7430, 0.2570)

Its formation energy (no corrections) is -11.6 eV/f.u. The space group is Fm-3m (225).

***

# 11
VASP calculation (GGA-PBEsol) on a relaxed MnVPbO5 crystal.

a = 7.5720 Å, b = 5.8754 Å, c = 9.2490 Å
α = 90.00°, β = 90.00°, γ = 90.00°
Atoms (fractional coordinates):
Mn (0.0000, 0.0000, 0.0000)
Mn (0.0000, 0.5000, 0.0000)
Mn (0.5000, 0.0000, 0.5000)
Mn (0.5000, 0.5000, 0.5000)
V (0.1617, 0.2500, 0.2870)
V (0.3383, 0.7500, 0.7870)
V (0.6617, 0.2500, 0.2130)
V (0.8383, 0.7500, 0.7130)
Pb (0.0875, 0.2500, 0.6657)
Pb (0.4125, 0.7500, 0.1657)
Pb (0.5875, 0.2500, 0.8343)
Pb (0.9125, 0.7500, 0.3343)
O (0.0192, 0.7500, 0.6104)
O (0.1205, 0.2500, 0.9241)
O (0.1501, 0.0012, 0.1826)
O (0.1501, 0.4988, 0.1826)
O (0.1626, 0.7500, 0.9101)
O (0.3374, 0.2500, 0.4101)
O (0.3499, 0.5012, 0.6826)
O (0.3499, 0.9988, 0.6826)
O (0.3795, 0.7500, 0.4241)
O (0.4808, 0.2500, 0.1104)
O (0.5192, 0.7500, 0.8896)
O (0.6205, 0.2500, 0.5759)
O (0.6501, 0.0012, 0.3174)
O (0.6501, 0.4988, 0.3174)
O (0.6626, 0.7500, 0.5899)
O (0.8374, 0.2500, 0.0899)
O (0.8499, 0.5012, 0.8174)
O (0.8499, 0.9988, 0.8174)
O (0.8795, 0.7500, 0.0759)
O (0.9808, 0.2500, 0.3896)

Its formation energy (no corrections) is -14.9 eV/f.u. The space group is Pnma (62).

***

# 12
VASP calculation (GGA-PBEsol) on a relaxed MnV2Pb2O8 crystal.

a = 7.5823 Å, b = 5.8672 Å, c = 8.9733 Å
α = 90.00°, β = 111.43°, γ = 90.00°
Atoms (fractional coordinates):
Mn (0.0000, 0.0000, 0.0000)
Mn (0.0000, 0.5000, 0.0000)
V (0.0446, 0.2500, 0.3319)
V (0.4294, 0.2500, 0.1624)
V (0.5706, 0.7500, 0.8376)
V (0.9554, 0.7500, 0.6681)
Pb (0.2980, 0.2500, 0.7554)
Pb (0.3159, 0.7500, 0.4221)
Pb (0.6841, 0.2500, 0.5779)
Pb (0.7020, 0.7500, 0.2446)
O (0.0296, 0.5006, 0.2198)
O (0.0296, 0.9994, 0.2198)
O (0.1210, 0.7500, 0.5847)
O (0.1823, 0.2500, 0.0387)
O (0.2648, 0.2500, 0.4765)
O (0.4487, 0.7500, 0.9587)
O (0.4841, 0.0128, 0.2838)
O (0.4841, 0.4872, 0.2838)
O (0.5159, 0.5128, 0.7162)
O (0.5159, 0.9872, 0.7162)
O (0.5513, 0.2500, 0.0413)
O (0.7352, 0.7500, 0.5235)
O (0.8177, 0.7500, 0.9613)
O (0.8790, 0.2500, 0.4153)
O (0.9704, 0.0006, 0.7802)
O (0.9704, 0.4994, 0.7802)

Its formation energy (no corrections) is -24.2 eV/f.u. The space group is P2_1/m (11).

***

# 13
VASP calculation (GGA-PBEsol) on a relaxed TiMn2PdO crystal.

a = 4.7156 Å, b = 4.7156 Å, c = 4.6411 Å
α = 90.00°, β = 90.00°, γ = 90.00°
Atoms (fractional coordinates):
Ti (0.0000, 0.0000, 0.0000)
Mn (0.0000, 0.5000, 0.5000)
Mn (0.5000, 0.0000, 0.5000)
Pd (0.0000, 0.0000, 0.5000)
O (0.5000, 0.5000, 0.0000)

Its formation energy (no corrections) is 5.9 eV/f.u. The space group is P4/mmm (123).